1.
BaTcBr2: optimized geometry, PBE.

abc: 4.7144 4.3732 12.3262
angles: 90.00 90.00 90.00
Last column: nearest neighbours and their distance in Å.
Space group Amm2 (No. 38)
Symmetry-distinct sites (fractional):
Ba 0.0000 0.0000 0.0000  7 Br 3.38-3.59, 4 Tc 3.57
Tc 0.5000 0.0000 0.3739  3 Br 2.57-2.69
Br 0.0000 0.0000 0.2911  2 Tc 2.57
Br 0.5000 0.0000 0.5921  1 Tc 2.69

Total moment ... 6.0 Bohr magnetons per cell
E_tot ... -4.236 eV/atom
Calculated volume ... 31.8 A^3/atom
Formation energy (no corrections) ... -31.62 kJ/mol of atoms
ΔE to the lowest computed polymorph ... 40.5 meV/atom

=====

2.
RbAs2Pt2: optimized geometry, PBE.

abc: 8.3921 8.3921 3.0363
angles: 90.00 90.00 90.00
Last column: nearest neighbours and their distance in Å.
Space group P4/mbm (No. 127)
Symmetry-distinct sites (fractional):
Rb 0.0000 0.0000 0.0000  2 Rb 3.04, 4 Pt 3.33
As 0.1378 0.3622 0.5000  4 Pt 2.66
Pt 0.1220 0.6220 0.0000  4 As 2.66, 1 Pt 2.90

Formation enthalpy at 0 K ... -0.064 eV per atom
Total moment ... 0.0 Bohr magnetons per cell
E_tot ... -4.533 eV/atom
Calculated volume ... 21.4 A^3/atom

=====

3.
Ga2AgSb2: optimized geometry, PBE.

abc: 7.6992 7.6992 3.8714
angles: 90.00 90.00 90.00
Last column: nearest neighbours and their distance in Å.
Space group P4/mbm (No. 127)
Symmetry-distinct sites (fractional):
Ga 0.1407 0.3593 0.0000  6 Sb 2.93-3.00, 2 Ag 2.97, 1 Ga 3.06
Ag 0.0000 0.0000 0.0000  4 Ga 2.97
Sb 0.1567 0.6567 0.5000  6 Ga 2.93-3.00

Total moment ... 0.0 Bohr magnetons per cell
E_tot ... -3.235 eV/atom
Calculated volume ... 22.9 A^3/atom
Formation energy (no corrections) ... 18.77 kJ/mol of atoms
ΔE to the lowest computed polymorph ... 41.4 meV/atom